Below is an optimized crystal structure of Na2CePuSe4, with properties calculated at the PBE level.

Unit cell a=7.368 b=4.258 c=7.368 alpha=90.00 beta=109.53 gamma=90.00
Atoms (fractional coordinates):
1 Na 0.000 0.000 0.000
2 Na 0.500 0.500 0.000
3 Ce 0.000 0.500 0.500
4 Pu 0.500 0.000 0.500
5 Se 0.245 0.000 0.734
6 Se 0.257 0.500 0.269
7 Se 0.743 0.500 0.731
8 Se 0.755 0.000 0.266


Below is an optimized crystal structure of Na3CePu2Se6, with properties calculated at the PBE level.

Unit cell a=7.347 b=7.347 c=7.355 alpha=99.58 beta=99.58 gamma=120.00
Atoms (fractional coordinates):
1 Na 0.000 0.000 0.000
2 Na 0.333 0.667 0.000
3 Na 0.667 0.333 0.000
4 Ce 0.500 0.500 0.500
5 Pu 0.167 0.833 0.500
6 Pu 0.833 0.167 0.500
7 Se 0.088 0.423 0.268
8 Se 0.242 0.242 0.732
9 Se 0.423 0.088 0.268
10 Se 0.577 0.912 0.732
11 Se 0.758 0.758 0.268
12 Se 0.912 0.577 0.732


Below is an optimized crystal structure of Na4CePu3Se8, with properties calculated at the PBE level.

Unit cell a=8.486 b=8.486 c=8.486 alpha=59.85 beta=59.85 gamma=59.85
Atoms (fractional coordinates):
1 Na 0.000 0.000 0.000
2 Na 0.000 0.500 0.500
3 Na 0.500 0.000 0.500
4 Na 0.500 0.500 0.000
5 Ce 0.500 0.500 0.500
6 Pu 0.000 0.000 0.500
7 Pu 0.000 0.500 0.000
8 Pu 0.500 0.000 0.000
9 Se 0.243 0.243 0.243
10 Se 0.243 0.745 0.745
11 Se 0.255 0.255 0.757
12 Se 0.255 0.757 0.255
13 Se 0.745 0.243 0.745
14 Se 0.745 0.745 0.243
15 Se 0.757 0.255 0.255
16 Se 0.757 0.757 0.757


Below is an optimized crystal structure of Na2CePuTe4, with properties calculated at the PBE level.

Unit cell a=7.863 b=4.540 c=7.929 alpha=90.00 beta=109.33 gamma=90.00
Atoms (fractional coordinates):
1 Na 0.000 0.000 0.000
2 Na 0.500 0.500 0.000
3 Ce 0.000 0.500 0.500
4 Pu 0.500 0.000 0.500
5 Te 0.246 0.000 0.738
6 Te 0.256 0.500 0.265
7 Te 0.744 0.500 0.735
8 Te 0.754 0.000 0.262


DOS(E_F) per entry: 2.27 2.41 2.36 2.52 states/eV per atom
Energy relative to the elements, uncorrected per entry: -1522 -1486 -1471 -1153 meV per atom